Record 1
DFT (meta-GGA SCAN) results for a PBEsol-optimized structure of TaTlPCl2.

Total energy   -159.6 eV per cell

Lattice parameters (Å, degrees): 5.007 5.007 5.185 90.00 90.00 90.00
Space group P4/mmm (No. 123)
Inequivalent atoms, fractional coordinates:
Ta (0.000, 0.000, 0.000) [1 per cell]
Tl (0.500, 0.500, 0.500) [1 per cell]
P (0.500, 0.500, 0.000) [1 per cell]
Cl (0.000, 0.500, 0.500) [2 per cell]

=====

Record 2
DFT (meta-GGA SCAN) results for a PBEsol-optimized structure of TaZnPCl2.

Total energy   -107.2 eV per cell

Lattice parameters (Å, degrees): 4.752 4.752 4.905 90.00 90.00 90.00
Space group P4/mmm (No. 123)
Inequivalent atoms, fractional coordinates:
Ta (0.000, 0.000, 0.000) [1 per cell]
Zn (0.500, 0.500, 0.500) [1 per cell]
P (0.000, 0.000, 0.500) [1 per cell]
Cl (0.000, 0.500, 0.000) [2 per cell]

=====

Record 3
DFT (meta-GGA SCAN) results for a PBEsol-optimized structure of TcP2Cl.

Total energy   -129.2 eV per cell
Energy above the most stable polymorph in this dataset   0.000 eV/atom

Lattice parameters (Å, degrees): 7.268 3.005 7.262 90.00 111.60 90.00
Space group C2/m (No. 12)
Inequivalent atoms, fractional coordinates:
Tc (0.000, 0.000, 0.000) [2 per cell]
P (0.147, 0.500, 0.841) [4 per cell]
Cl (0.000, 0.500, 0.500) [2 per cell]

=====

Record 4
DFT (meta-GGA SCAN) results for a PBEsol-optimized structure of TcP2Cl.

Total energy   -124.2 eV per cell
Energy above the most stable polymorph in this dataset   0.630 eV/atom

Lattice parameters (Å, degrees): 2.816 4.365 10.178 90.00 90.00 90.00
Space group Immm (No. 71)
Inequivalent atoms, fractional coordinates:
Tc (0.000, 0.000, 0.000) [2 per cell]
P (0.000, 0.500, 0.304) [4 per cell]
Cl (0.000, 0.000, 0.500) [2 per cell]

=====

Record 5
DFT (meta-GGA SCAN) results for a PBEsol-optimized structure of TcP2Cl.

Total energy   -244.2 eV per cell
Energy above the most stable polymorph in this dataset   0.890 eV/atom

Lattice parameters (Å, degrees): 6.036 6.036 6.036 90.00 90.00 90.00
Space group F-43m (No. 216)
Inequivalent atoms, fractional coordinates:
Tc (0.000, 0.000, 0.000) [4 per cell]
P (0.000, 0.000, 0.500) [4 per cell]
P (0.250, 0.250, 0.250) [4 per cell]
Cl (0.250, 0.250, 0.750) [4 per cell]

=====

Record 6
DFT (meta-GGA SCAN) results for a PBEsol-optimized structure of TcPCl2.

Total energy   -121.9 eV per cell
Energy above the most stable polymorph in this dataset   0.483 eV/atom

Lattice parameters (Å, degrees): 3.000 4.519 11.006 90.00 90.00 90.00
Space group Imm2 (No. 44)
Inequivalent atoms, fractional coordinates:
Tc (0.000, 0.000, 0.000) [2 per cell]
P (0.000, 0.500, 0.345) [2 per cell]
Cl (0.000, 0.000, 0.489) [2 per cell]
Cl (0.000, 0.500, 0.686) [2 per cell]

=====

Record 7
DFT (meta-GGA SCAN) results for a PBEsol-optimized structure of TcPCl2.

Total energy   -56.8 eV per cell
Energy above the most stable polymorph in this dataset   1.516 eV/atom

Lattice parameters (Å, degrees): 4.354 4.354 3.116 90.00 90.00 90.00
Space group P4/mmm (No. 123)
Inequivalent atoms, fractional coordinates:
Tc (0.000, 0.000, 0.000) [1 per cell]
P (0.500, 0.500, 0.000) [1 per cell]
Cl (0.000, 0.500, 0.500) [2 per cell]

=====

Record 8
DFT (meta-GGA SCAN) results for a PBEsol-optimized structure of TcPCl2.

Total energy   -179.7 eV per cell
Energy above the most stable polymorph in this dataset   0.741 eV/atom

Lattice parameters (Å, degrees): 2.9608 2.9608 27.4700 90.00 90.00 120.00
Space group R-3m (No. 166, hexagonal axes)
Inequivalent atoms, fractional coordinates:
Tc (0.0000, 0.0000, 0.0000) [3 per cell]
P (0.0000, 0.0000, 0.5000) [3 per cell]
Cl (0.0000, 0.0000, 0.2710) [6 per cell]

=====

no.,formation energy (no corrections) (eV/atom)
1,1.147
2,-0.144
3,-0.195
4,0.435
5,0.695
6,0.120
7,1.153
8,0.378